No. 1
Computed, not measured: a relaxed HSeI crystal at the GGA-PBE level of DFT.

Relative energy among the computed polymorphs ... 0.0185 eV per atom
DOS(E_F) ... 0.79 states/eV/f.u.
Space-group type ... Cm, No. 8
Size of the total moment ... 0.00 μB per formula unit

a = 8.684 Å, b = 5.395 Å, c = 4.960 Å
α = 90.00°, β = 117.63°, γ = 90.00°
Element x y z (fractional)
1 H 0.000 0.000 0.000
2 H 0.500 0.500 0.000
3 Se 0.157 0.000 0.949
4 Se 0.657 0.500 0.949
5 I 0.219 0.500 0.130
6 I 0.719 0.000 0.130

No. 2
Computed, not measured: a relaxed HSeI crystal at the GGA-PBE level of DFT.

Relative energy among the computed polymorphs ... 0.0405 eV per atom
DOS(E_F) ... 1.41 states/eV/f.u.
Space-group type ... P-1, No. 2
Size of the total moment ... 0.00 μB per formula unit

a = 2.984 Å, b = 5.723 Å, c = 11.148 Å
α = 89.82°, β = 82.99°, γ = 89.83°
Element x y z (fractional)
1 H 0.060 0.250 0.372
2 H 0.940 0.750 0.628
3 Se 0.004 0.750 0.490
4 Se 0.996 0.250 0.510
5 I 0.167 0.249 0.149
6 I 0.833 0.751 0.851

No. 3
Computed, not measured: a relaxed HSeI crystal at the GGA-PBE level of DFT.

Relative energy among the computed polymorphs ... 0.0000 eV per atom
DOS(E_F) ... 0.31 states/eV/f.u.
Space-group type ... P1, No. 1
Size of the total moment ... 0.00 μB per formula unit

a = 4.896 Å, b = 5.165 Å, c = 5.337 Å
α = 61.65°, β = 76.24°, γ = 62.08°
Element x y z (fractional)
1 H 0.000 0.000 0.000
2 Se 0.934 0.197 0.159
3 I 0.111 0.649 0.665

No. 4
Computed, not measured: a relaxed Sm2H2SeI crystal at the GGA-PBE level of DFT.

Total energy ... -27.944 eV per cell
DOS(E_F) ... 1.89 states/eV/f.u.
Space-group type ... P-3m1, No. 164
Size of the total moment ... 0.00 μB per formula unit

a = 3.956 Å, b = 3.956 Å, c = 8.905 Å
α = 90.00°, β = 90.00°, γ = 120.00°
Element x y z (fractional)
1 Sm 0.333 0.667 0.210
2 Sm 0.667 0.333 0.790
3 H 0.333 0.667 0.756
4 H 0.667 0.333 0.244
5 Se 0.000 0.000 0.000
6 I 0.000 0.000 0.500

No. 5
Computed, not measured: a relaxed SnHSeI crystal at the GGA-PBE level of DFT.

Total energy ... -13.288 eV per cell
DOS(E_F) ... 0.00 states/eV/f.u.
Space-group type ... P1, No. 1
Size of the total moment ... 0.00 μB per formula unit

a = 4.013 Å, b = 4.412 Å, c = 7.423 Å
α = 107.02°, β = 104.38°, γ = 92.08°
Element x y z (fractional)
1 Sn 0.000 0.000 0.000
2 H 0.678 0.037 0.411
3 Se 0.585 0.782 0.216
4 I 0.342 0.533 0.709

No. 6
Computed, not measured: a relaxed Te2HSeI crystal at the GGA-PBE level of DFT.

Relative energy among the computed polymorphs ... 0.3953 eV per atom
DOS(E_F) ... 4.52 states/eV/f.u.
Space-group type ... P4/mmm, No. 123
Size of the total moment ... 0.79 μB per formula unit

a = 5.560 Å, b = 5.560 Å, c = 5.847 Å
α = 90.00°, β = 90.00°, γ = 90.00°
Element x y z (fractional)
1 Te 0.000 0.500 0.000
2 Te 0.500 0.000 0.000
3 H 0.000 0.000 0.500
4 Se 0.500 0.500 0.000
5 I 0.500 0.500 0.500

No. 7
Computed, not measured: a relaxed Te2HSeI crystal at the GGA-PBE level of DFT.

Relative energy among the computed polymorphs ... 0.0000 eV per atom
DOS(E_F) ... 3.72 states/eV/f.u.
Space-group type ... P4/mmm, No. 123
Size of the total moment ... 0.00 μB per formula unit

a = 4.305 Å, b = 4.305 Å, c = 8.319 Å
α = 90.00°, β = 90.00°, γ = 90.00°
Element x y z (fractional)
1 Te 0.000 0.500 0.000
2 Te 0.500 0.000 0.000
3 H 0.000 0.000 0.000
4 Se 0.500 0.500 0.500
5 I 0.000 0.000 0.500

No. 8
Computed, not measured: a relaxed Tl3H4Se2I3 crystal at the GGA-PBE level of DFT.

Total energy ... -35.000 eV per cell
DOS(E_F) ... 0.00 states/eV/f.u.
Space-group type ... Imm2, No. 44
Size of the total moment ... 0.00 μB per formula unit

a = 12.127 Å, b = 12.127 Å, c = 12.127 Å
α = 147.43°, β = 42.30°, γ = 153.75°
Element x y z (fractional)
1 Tl 0.000 0.000 0.000
2 Tl 0.221 0.841 0.379
3 Tl 0.462 0.841 0.621
4 H 0.124 0.324 0.800
5 H 0.456 0.580 0.875
6 H 0.525 0.324 0.200
7 H 0.705 0.580 0.125
8 Se 0.182 0.312 0.871
9 Se 0.441 0.312 0.129
10 I 0.049 0.344 0.705
11 I 0.639 0.344 0.295
12 I 0.854 0.354 0.500

No. 9
Computed, not measured: a relaxed UHSeI crystal at the GGA-PBE level of DFT.

Total energy ... -46.094 eV per cell
DOS(E_F) ... 3.40 states/eV/f.u.
Space-group type ... Cm, No. 8
Size of the total moment ... 2.00 μB per formula unit

a = 6.794 Å, b = 3.923 Å, c = 7.850 Å
α = 90.00°, β = 106.89°, γ = 90.00°
Element x y z (fractional)
1 U 0.000 0.000 0.000
2 U 0.500 0.500 0.000
3 H 0.341 0.000 0.021
4 H 0.841 0.500 0.021
5 Se 0.090 0.500 0.773
6 Se 0.590 0.000 0.773
7 I 0.266 0.500 0.295
8 I 0.766 0.000 0.295

No. 10
Computed, not measured: a relaxed Si2HI crystal at the GGA-PBE level of DFT.

Relative energy among the computed polymorphs ... 0.2232 eV per atom
Space-group type ... P1, No. 1
Size of the total moment ... 0.00 μB per formula unit

a = 3.954 Å, b = 5.133 Å, c = 9.566 Å
α = 92.30°, β = 91.25°, γ = 96.70°
Element x y z (fractional)
1 Si 0.000 0.000 0.000
2 Si 0.020 0.278 0.237
3 Si 0.212 0.630 0.096
4 Si 0.477 0.008 0.240
5 H 0.457 0.512 0.002
6 H 0.486 0.897 0.383
7 I 0.493 0.985 0.799
8 I 0.983 0.458 0.491

No. 11
Computed, not measured: a relaxed SiHI2 crystal at the GGA-PBE level of DFT.

Total energy ... -35.119 eV per cell
DOS(E_F) ... 0.01 states/eV/f.u.
Space-group type ... Fm-3m, No. 225
Size of the total moment ... 1.00 μB per formula unit

a = 7.404 Å, b = 7.404 Å, c = 7.404 Å
α = 90.00°, β = 90.00°, γ = 90.00°
Element x y z (fractional)
1 Si 0.000 0.000 0.000
2 Si 0.000 0.500 0.500
3 Si 0.500 0.000 0.500
4 Si 0.500 0.500 0.000
5 H 0.000 0.000 0.500
6 H 0.000 0.500 0.000
7 H 0.500 0.000 0.000
8 H 0.500 0.500 0.500
9 I 0.250 0.250 0.250
10 I 0.250 0.250 0.750
11 I 0.250 0.750 0.250
12 I 0.250 0.750 0.750
13 I 0.750 0.250 0.250
14 I 0.750 0.250 0.750
15 I 0.750 0.750 0.250
16 I 0.750 0.750 0.750

No. 12
Computed, not measured: a relaxed SiHI2 crystal at the GGA-PBE level of DFT.

Total energy ... -36.918 eV per cell
DOS(E_F) ... 1.70 states/eV/f.u.
Space-group type ... I-42d, No. 122
Size of the total moment ... 0.41 μB per formula unit

a = 7.098 Å, b = 7.098 Å, c = 8.426 Å
α = 90.00°, β = 90.00°, γ = 90.00°
Element x y z (fractional)
1 Si 0.000 0.000 0.000
2 Si 0.000 0.500 0.250
3 Si 0.500 0.000 0.750
4 Si 0.500 0.500 0.500
5 H 0.000 0.000 0.500
6 H 0.000 0.500 0.750
7 H 0.500 0.000 0.250
8 H 0.500 0.500 0.000
9 I 0.223 0.250 0.625
10 I 0.250 0.723 0.875
11 I 0.250 0.777 0.375
12 I 0.277 0.250 0.125
13 I 0.723 0.750 0.125
14 I 0.750 0.223 0.375
15 I 0.750 0.277 0.875
16 I 0.777 0.750 0.625

No. 13
Computed, not measured: a relaxed Si2HI2 crystal at the GGA-PBE level of DFT.

Relative energy among the computed polymorphs ... 0.1250 eV per atom
DOS(E_F) ... 0.00 states/eV/f.u.
Space-group type ... P4/mbm, No. 127
Size of the total moment ... 1.00 μB per formula unit

a = 9.639 Å, b = 9.639 Å, c = 3.978 Å
α = 90.00°, β = 90.00°, γ = 90.00°
Element x y z (fractional)
1 Si 0.085 0.415 0.000
2 Si 0.415 0.915 0.000
3 Si 0.585 0.085 0.000
4 Si 0.915 0.585 0.000
5 H 0.000 0.000 0.500
6 H 0.500 0.500 0.500
7 I 0.145 0.645 0.500
8 I 0.355 0.145 0.500
9 I 0.645 0.855 0.500
10 I 0.855 0.355 0.500

No. 14
Computed, not measured: a relaxed SiH5I2 crystal at the GGA-PBE level of DFT.

Total energy ... -45.737 eV per cell
DOS(E_F) ... 2.22 states/eV/f.u.
Space-group type ... I4mm, No. 107
Size of the total moment ... 0.22 μB per formula unit

a = 4.466 Å, b = 4.466 Å, c = 15.965 Å
α = 90.00°, β = 90.00°, γ = 90.00°
Element x y z (fractional)
1 Si 0.000 0.000 0.000
2 Si 0.500 0.500 0.500
3 H 0.000 0.000 0.093
4 H 0.238 0.238 0.971
5 H 0.238 0.762 0.971
6 H 0.262 0.262 0.471
7 H 0.262 0.738 0.471
8 H 0.500 0.500 0.593
9 H 0.738 0.262 0.471
10 H 0.738 0.738 0.471
11 H 0.762 0.238 0.971
12 H 0.762 0.762 0.971
13 I 0.000 0.500 0.258
14 I 0.000 0.500 0.758
15 I 0.500 0.000 0.258
16 I 0.500 0.000 0.758

No. 15
Computed, not measured: a relaxed Si2HI crystal at the GGA-PBE level of DFT.

Relative energy among the computed polymorphs ... 0.0164 eV per atom
DOS(E_F) ... 0.00 states/eV/f.u.
Space-group type ... P1, No. 1
Size of the total moment ... 0.00 μB per formula unit

a = 3.953 Å, b = 6.605 Å, c = 8.637 Å
α = 67.99°, β = 89.83°, γ = 90.00°
Element x y z (fractional)
1 Si 0.000 0.000 0.000
2 Si 0.018 0.358 0.004
3 Si 0.501 0.910 0.888
4 Si 0.518 0.552 0.884
5 H 0.023 0.320 0.187
6 H 0.526 0.590 0.702
7 I 0.356 0.159 0.597
8 I 0.851 0.750 0.292

No. 16
Computed, not measured: a relaxed Si3HI crystal at the GGA-PBE level of DFT.

Total energy ... -10.786 eV per cell
DOS(E_F) ... 3.19 states/eV/f.u.
Space-group type ... Pm-3m, No. 221
Size of the total moment ... 0.74 μB per formula unit

a = 5.426 Å, b = 5.426 Å, c = 5.426 Å
α = 90.00°, β = 90.00°, γ = 90.00°
Element x y z (fractional)
1 Si 0.000 0.000 0.500
2 Si 0.000 0.500 0.000
3 Si 0.500 0.000 0.000
4 H 0.500 0.500 0.500
5 I 0.000 0.000 0.000

No. 17
Computed, not measured: a relaxed SiHI crystal at the GGA-PBE level of DFT.

Relative energy among the computed polymorphs ... 0.2512 eV per atom
Space-group type ... P-1, No. 2
Size of the total moment ... 0.00 μB per formula unit

a = 4.821 Å, b = 5.885 Å, c = 6.505 Å
α = 100.62°, β = 104.09°, γ = 93.25°
Element x y z (fractional)
1 Si 0.023 0.306 0.434
2 Si 0.977 0.694 0.566
3 H 0.277 0.297 0.336
4 H 0.723 0.703 0.664
5 I 0.242 0.180 0.789
6 I 0.758 0.820 0.211

No. 18
Computed, not measured: a relaxed SiH4I crystal at the GGA-PBE level of DFT.

Relative energy among the computed polymorphs ... 0.0791 eV per atom
DOS(E_F) ... 1.26 states/eV/f.u.
Space-group type ... P1, No. 1
Size of the total moment ... 0.00 μB per formula unit

a = 3.745 Å, b = 4.467 Å, c = 5.943 Å
α = 110.96°, β = 99.71°, γ = 91.41°
Element x y z (fractional)
1 Si 0.000 0.000 0.000
2 H 0.312 0.240 0.989
3 H 0.339 0.882 0.135
4 H 0.699 0.243 0.993
5 H 0.728 0.886 0.138
6 I 0.848 0.585 0.582

No. 19
Computed, not measured: a relaxed Si2HI crystal at the GGA-PBE level of DFT.

Relative energy among the computed polymorphs ... 0.0000 eV per atom
Space-group type ... P2_1, No. 4
Size of the total moment ... 0.00 μB per formula unit

a = 6.681 Å, b = 3.974 Å, c = 8.420 Å
α = 90.00°, β = 105.37°, γ = 90.00°
Element x y z (fractional)
1 Si 0.094 0.000 0.047
2 Si 0.402 0.001 0.960
3 Si 0.598 0.501 0.040
4 Si 0.906 0.500 0.953
5 H 0.154 0.000 0.232
6 H 0.846 0.500 0.768
7 I 0.302 0.043 0.654
8 I 0.698 0.543 0.346

No. 20
Computed, not measured: a relaxed Si2H4I3 crystal at the GGA-PBE level of DFT.

Total energy ... -55.152 eV per cell
DOS(E_F) ... 2.71 states/eV/f.u.
Space-group type ... C2/c, No. 15
Size of the total moment ... 0.00 μB per formula unit

a = 9.280 Å, b = 9.280 Å, c = 5.751 Å
α = 99.53°, β = 99.53°, γ = 53.95°
Element x y z (fractional)
1 Si 0.154 0.333 0.028
2 Si 0.333 0.154 0.528
3 Si 0.667 0.846 0.472
4 Si 0.846 0.667 0.972
5 H 0.048 0.559 0.131
6 H 0.254 0.312 0.776
7 H 0.312 0.254 0.276
8 H 0.441 0.952 0.369
9 H 0.559 0.048 0.631
10 H 0.688 0.746 0.724
11 H 0.746 0.688 0.224
12 H 0.952 0.441 0.869
13 I 0.013 0.713 0.672
14 I 0.287 0.987 0.828
15 I 0.456 0.544 0.250
16 I 0.544 0.456 0.750
17 I 0.713 0.013 0.172
18 I 0.987 0.287 0.328

No. 21
Computed, not measured: a relaxed SiHI crystal at the GGA-PBE level of DFT.

Relative energy among the computed polymorphs ... 0.1933 eV per atom
DOS(E_F) ... 0.00 states/eV/f.u.
Space-group type ... P1, No. 1
Size of the total moment ... 0.00 μB per formula unit

a = 5.234 Å, b = 5.869 Å, c = 5.977 Å
α = 98.50°, β = 99.42°, γ = 91.29°
Element x y z (fractional)
1 Si 0.000 0.000 0.000
2 Si 0.369 0.785 0.133
3 H 0.044 0.210 0.893
4 H 0.794 0.845 0.844
5 I 0.244 0.713 0.519
6 I 0.691 0.168 0.280

No. 22
Computed, not measured: a relaxed Si2HI crystal at the GGA-PBE level of DFT.

Relative energy among the computed polymorphs ... 1.3591 eV per atom
DOS(E_F) ... 2.49 states/eV/f.u.
Space-group type ... Fm-3m, No. 225
Size of the total moment ... 0.00 μB per formula unit

a = 6.746 Å, b = 6.746 Å, c = 6.746 Å
α = 90.00°, β = 90.00°, γ = 90.00°
Element x y z (fractional)
1 Si 0.250 0.250 0.250
2 Si 0.250 0.250 0.750
3 Si 0.250 0.750 0.250
4 Si 0.250 0.750 0.750
5 Si 0.750 0.250 0.250
6 Si 0.750 0.250 0.750
7 Si 0.750 0.750 0.250
8 Si 0.750 0.750 0.750
9 H 0.000 0.000 0.000
10 H 0.000 0.500 0.500
11 H 0.500 0.000 0.500
12 H 0.500 0.500 0.000
13 I 0.000 0.000 0.500
14 I 0.000 0.500 0.000
15 I 0.500 0.000 0.000
16 I 0.500 0.500 0.500

No. 23
Computed, not measured: a relaxed Si2HI crystal at the GGA-PBE level of DFT.

Relative energy among the computed polymorphs ... 0.0017 eV per atom
DOS(E_F) ... 0.00 states/eV/f.u.
Space-group type ... P-1, No. 2
Size of the total moment ... 0.00 μB per formula unit

a = 3.974 Å, b = 6.671 Å, c = 8.386 Å
α = 97.10°, β = 102.41°, γ = 90.00°
Element x y z (fractional)
1 Si 0.017 0.176 0.037
2 Si 0.477 0.327 0.949
3 Si 0.523 0.673 0.051
4 Si 0.983 0.824 0.963
5 H 0.394 0.305 0.764
6 H 0.606 0.695 0.236
7 I 0.156 0.227 0.343
8 I 0.844 0.773 0.657

No. 24
Computed, not measured: a relaxed SiH2I2 crystal at the GGA-PBE level of DFT.

Total energy ... -27.904 eV per cell
DOS(E_F) ... 3.19 states/eV/f.u.
Space-group type ... Ibam, No. 72
Size of the total moment ... 0.00 μB per formula unit

a = 7.863 Å, b = 7.863 Å, c = 7.863 Å
α = 130.28°, β = 63.98°, γ = 142.39°
Element x y z (fractional)
1 Si 0.250 0.250 0.000
2 Si 0.750 0.750 0.000
3 H 0.058 0.116 0.173
4 H 0.442 0.616 0.058
5 H 0.558 0.384 0.942
6 H 0.942 0.884 0.827
7 I 0.142 0.713 0.855
8 I 0.358 0.213 0.570
9 I 0.642 0.787 0.430
10 I 0.858 0.287 0.145

No. 25
Computed, not measured: a relaxed SiHI crystal at the GGA-PBE level of DFT.

Relative energy among the computed polymorphs ... 0.2220 eV per atom
DOS(E_F) ... 0.00 states/eV/f.u.
Space-group type ... P1, No. 1
Size of the total moment ... 0.00 μB per formula unit

a = 4.036 Å, b = 6.024 Å, c = 6.918 Å
α = 89.74°, β = 88.19°, γ = 90.00°
Element x y z (fractional)
1 Si 0.000 0.000 0.000
2 Si 0.428 0.919 0.757
3 H 0.040 0.188 0.139
4 H 0.669 0.093 0.904
5 I 0.232 0.284 0.600
6 I 0.715 0.700 0.192

No. 26
Computed, not measured: a relaxed Si2HI crystal at the GGA-PBE level of DFT.

Relative energy among the computed polymorphs ... 0.2186 eV per atom
Space-group type ... Pm, No. 6
Size of the total moment ... 0.00 μB per formula unit

a = 7.410 Å, b = 3.967 Å, c = 8.133 Å
α = 90.00°, β = 115.26°, γ = 90.00°
Element x y z (fractional)
1 Si 0.000 0.000 0.000
2 Si 0.116 0.000 0.321
3 Si 0.303 0.500 0.433
4 Si 0.870 0.500 0.823
5 H 0.200 0.000 0.992
6 H 0.953 0.000 0.386
7 I 0.502 0.500 0.799
8 I 0.570 0.500 0.329